DFT (PBE with a Hubbard U) results for CoAuOF2 after structural relaxation.

Summary:
Calculated total energy in eV/atom: -3.489
Volume in Å³/cell: 78.5

Cell: 4.370 4.370 4.108 Å, 90.00 90.00 90.00°
Fractional positions:
Co: 0.000 0.000 0.000
Au: 0.500 0.500 0.500
O: 0.500 0.500 0.000
F: 0.000 0.500 0.500
F: 0.500 0.000 0.500